Record 1
A plane-wave DFT calculation with GGA-PBE was carried out for a relaxed structure of Te2Se2Br.

```
Te2Se2Br
1.0
6.975 0.000 0.000
1.507 7.544 0.000
3.056 2.518 6.929
Te Se Br
4 4 2
direct
0.139 0.007 0.201
0.150 0.533 0.667
0.850 0.467 0.333
0.861 0.993 0.799
0.114 0.240 0.495
0.159 0.757 0.850
0.841 0.243 0.150
0.886 0.760 0.505
0.442 0.294 0.866
0.558 0.706 0.134
```

Computed properties:
E above lowest polymorph	0	meV/atom
raw formation energy	-0.071	eV/atom
E	-3.056	eV per atom
M_tot	0.00	μB/f.u.
symmetry	P-1, No. 2

---

Record 2
A plane-wave DFT calculation with GGA-PBE was carried out for a relaxed structure of TeSe2Br.

```
TeSe2Br
1.0
-1.873 2.655 5.267
1.873 -2.655 5.267
1.873 2.655 -5.267
Te Se Br
1 2 1
direct
0.000 0.000 0.000
0.200 0.700 0.500
0.800 0.300 0.500
0.500 0.500 0.000
```

Computed properties:
E above lowest polymorph	371	meV/atom
raw formation energy	0.311	eV/atom
E	-2.635	eV per atom
M_tot	0.00	μB/f.u.
symmetry	Immm, No. 71

---

Record 3
A plane-wave DFT calculation with GGA-PBE was carried out for a relaxed structure of TeSe2Br.

```
TeSe2Br
1.0
3.791 0.000 0.000
0.000 3.859 0.000
0.000 0.000 7.749
Te Se Br
1 2 1
direct
0.000 0.000 0.000
0.000 0.000 0.337
0.500 0.500 0.298
0.500 0.500 0.733
```

Computed properties:
E above lowest polymorph	308	meV/atom
raw formation energy	0.248	eV/atom
E	-2.698	eV per atom
M_tot	0.00	μB/f.u.
symmetry	Pmm2, No. 25

---

Record 4
A plane-wave DFT calculation with GGA-PBE was carried out for a relaxed structure of Te4Se2Br3.

```
Te4Se2Br3
1.0
6.965 -5.973 0.000
6.965 5.973 0.000
-0.643 0.000 8.760
Te Se Br
8 4 6
direct
0.024 0.739 0.626
0.150 0.473 0.787
0.261 0.976 0.874
0.473 0.150 0.287
0.527 0.850 0.713
0.739 0.024 0.126
0.850 0.527 0.213
0.976 0.261 0.374
0.212 0.321 0.487
0.321 0.212 0.987
0.679 0.788 0.013
0.788 0.679 0.513
0.099 0.622 0.199
0.378 0.901 0.301
0.432 0.568 0.750
0.568 0.432 0.250
0.622 0.099 0.699
0.901 0.378 0.801
```

Computed properties:
raw formation energy	-0.062	eV/atom
E	-2.791	eV per atom
M_tot	0.00	μB/f.u.
symmetry	C2/c, No. 15

---

Record 5
A plane-wave DFT calculation with GGA-PBE was carried out for a relaxed structure of Te3SeBr.

```
Te3SeBr
1.0
3.457 1.996 8.331
-3.457 1.996 8.331
0.000 -3.991 8.331
Te Se Br
6 2 2
direct
0.099 0.796 0.605
0.105 0.296 0.599
0.296 0.599 0.105
0.599 0.105 0.296
0.605 0.099 0.796
0.796 0.605 0.099
0.436 0.436 0.436
0.936 0.936 0.936
0.107 0.107 0.107
0.607 0.607 0.607
```

Computed properties:
E above lowest polymorph	190	meV/atom
raw formation energy	0.203	eV/atom
E	-2.713	eV per atom
M_tot	0.00	μB/f.u.
symmetry	R3c, No. 161

---

Record 6
A plane-wave DFT calculation with GGA-PBE was carried out for a relaxed structure of TeSe2Br.

```
TeSe2Br
1.0
3.619 -2.020 0.000
3.619 2.020 0.000
-0.555 0.000 7.902
Te Se Br
1 2 1
direct
0.000 0.000 0.000
0.322 0.322 0.787
0.678 0.678 0.213
0.500 0.500 0.500
```

Computed properties:
E above lowest polymorph	70	meV/atom
raw formation energy	0.010	eV/atom
E	-2.936	eV per atom
M_tot	0.00	μB/f.u.
symmetry	C2/m, No. 12